Record 1
Mg2Ta2Co2IrOs | PBE | optimized geometry

Summary:
DFT total energy	-7.94	eV/atom
spin magnetization	0.99	μB/f.u.
crystal system	tetragonal

a = 4.361 Å, b = 4.361 Å, c = 6.180 Å
α = 90.00°, β = 90.00°, γ = 90.00°
Sites, in units of the cell vectors:
1 Mg 0.000 0.500 0.249
2 Mg 0.500 0.000 0.751
3 Ta 0.000 0.500 0.752
4 Ta 0.500 0.000 0.248
5 Co 0.000 0.000 0.000
6 Co 0.500 0.500 0.500
7 Ir 0.000 0.000 0.500
8 Os 0.500 0.500 0.000

---

Record 2
CoW | PBE | optimized geometry

Summary:
formation enthalpy at 0 K	0.08	eV/atom
spin magnetization	0.34	μB/f.u.
crystal system	orthorhombic

a = 4.792 Å, b = 4.792 Å, c = 7.876 Å
α = 90.00°, β = 90.00°, γ = 119.23°
Sites, in units of the cell vectors:
1 Co 0.000 0.000 0.000
2 Co 0.000 0.000 0.500
3 Co 0.167 0.338 0.750
4 Co 0.338 0.167 0.250
5 Co 0.662 0.833 0.750
6 Co 0.833 0.662 0.250
7 W 0.171 0.829 0.750
8 W 0.339 0.661 0.064
9 W 0.339 0.661 0.436
10 W 0.661 0.339 0.564
11 W 0.661 0.339 0.936
12 W 0.829 0.171 0.250

---

Record 3
Ag2Ge2O5 | PBE | optimized geometry

Summary:
energy above the most stable polymorph in this dataset	932.6	meV per atom
crystal system	tetragonal

a = 3.377 Å, b = 3.377 Å, c = 9.774 Å
α = 90.00°, β = 90.00°, γ = 90.00°
Sites, in units of the cell vectors:
1 Ag 0.000 0.000 0.226
2 Ag 0.000 0.000 0.774
3 Ge 0.500 0.500 0.000
4 Ge 0.500 0.500 0.500
5 O 0.000 0.000 0.000
6 O 0.000 0.500 0.383
7 O 0.000 0.500 0.617
8 O 0.500 0.000 0.383
9 O 0.500 0.000 0.617

---

Record 4
BiAuNO | PBE | optimized geometry

Summary:
energy above the most stable polymorph in this dataset	335.9	meV per atom
crystal system	tetragonal

a = 5.014 Å, b = 5.014 Å, c = 4.681 Å
α = 90.00°, β = 90.00°, γ = 90.00°
Sites, in units of the cell vectors:
1 Bi 0.250 0.750 0.000
2 Bi 0.750 0.250 0.000
3 Au 0.250 0.250 0.496
4 Au 0.750 0.750 0.504
5 N 0.250 0.250 0.995
6 N 0.750 0.750 0.005
7 O 0.250 0.750 0.500
8 O 0.750 0.250 0.500

---

For reference, calculated volume by record: 14.69; 13.15; 12.38; 14.71 A^3/atom.